Record 1
VASP calculation (GGA-PBE) on LiBe3Ru after structural relaxation.

Results
The calculation puts the formation energy from the elements at 418 meV per atom. Its symmetry is Pm-3m. For the total energy, the calculation gives -4.056 eV per atom. The offset from the most stable computed form comes out at 0 meV/atom.

Cell: 4.2135 4.2135 4.2135 Å, 90.00 90.00 90.00°
Positions (direct):
Li 0.0000 0.0000 0.0000
Be 0.0000 0.5000 0.5000
Be 0.5000 0.0000 0.5000
Be 0.5000 0.5000 0.0000
Ru 0.5000 0.5000 0.5000


Record 2
VASP calculation (GGA-PBE) on Ca2Mg after structural relaxation.

Results
The calculation puts the formation energy from the elements at -31 meV per atom. Its symmetry is C2/m. For the total energy, the calculation gives -1.897 eV per atom.

Cell: 6.5406 6.5406 9.7727 Å, 112.30 112.30 33.18°
Positions (direct):
Ca 0.0109 0.0109 0.2026
Ca 0.3381 0.3381 0.4038
Ca 0.6619 0.6619 0.5962
Ca 0.9891 0.9891 0.7974
Mg 0.3046 0.3046 0.9164
Mg 0.6954 0.6954 0.0836


Record 3
VASP calculation (GGA-PBE) on Al2Cd2Ge after structural relaxation.

Results
The calculation puts the formation energy from the elements at 321 meV per atom. Its symmetry is P4/mbm. For the total energy, the calculation gives -2.466 eV per atom. The offset from the most stable computed form comes out at 39 meV/atom.

Cell: 8.0717 8.0717 3.2206 Å, 90.00 90.00 90.00°
Positions (direct):
Al 0.1687 0.3313 0.0000
Al 0.3313 0.8313 0.0000
Al 0.6687 0.1687 0.0000
Al 0.8313 0.6687 0.0000
Cd 0.1323 0.6323 0.5000
Cd 0.3677 0.1323 0.5000
Cd 0.6323 0.8677 0.5000
Cd 0.8677 0.3677 0.5000
Ge 0.0000 0.0000 0.5000
Ge 0.5000 0.5000 0.5000